An optimized crystal structure of NiSO2, computed with PBE+U.

## Properties
- VASP energy (eV/atom) = -3.834

The structure in CIF format:
```
data_NiSO2
_chemical_formula_sum 'Ni3 S3 O6'
_symmetry_space_group_name_H-M 'R -3 m'
_symmetry_Int_Tables_number 166
_symmetry_space_group_name_Hall '-R 3 2"'
_cell_length_a 3.1107
_cell_length_b 3.1107
_cell_length_c 17.3127
_cell_angle_alpha 90.00
_cell_angle_beta 90.00
_cell_angle_gamma 120.00
loop_
_atom_site_label
_atom_site_type_symbol
_atom_site_fract_x
_atom_site_fract_y
_atom_site_fract_z
_atom_site_occupancy
Ni1 Ni 0.0000 0.0000 0.0000 1
S1 S 0.0000 0.0000 0.5000 1
O1 O 0.0000 0.0000 0.1098 1
```